# 1
VASP calculation (meta-GGA SCAN) on K4V5CdClO15 at its PBEsol-relaxed geometry.

Computed properties:
* formation energy without anion corrections: -2446 meV/atom

Lattice parameters (Å, degrees): 9.087 9.087 5.322 90.00 90.00 90.00
Space group P4 (No. 75)
Unique sites:
K1 0.163 0.675 0.000
V1 0.144 0.384 0.476
V2 0.500 0.500 0.450
Cd1 0.000 0.000 0.417
Cl1 0.000 0.000 0.899
O1 0.000 0.500 0.356
O2 0.122 0.211 0.370
O3 0.143 0.386 0.785
O4 0.308 0.455 0.357
O5 0.500 0.500 0.750

# 2
VASP calculation (meta-GGA SCAN) on BaZrBe at its PBEsol-relaxed geometry.

Computed properties:
* formation energy: 1052 meV per atom

Lattice parameters (Å, degrees): 6.835 6.835 6.835 90.00 90.00 90.00
Space group F-43m (No. 216)
Unique sites:
Ba1 0.000 0.000 0.000
Zr1 0.000 0.000 0.500
Be1 0.250 0.250 0.750

# 3
VASP calculation (meta-GGA SCAN) on Cd2HgBr at its PBEsol-relaxed geometry.

Computed properties:
* formation energy without anion corrections: -109 meV/atom

Lattice parameters (Å, degrees): 4.165 4.165 11.461 90.00 90.00 90.00
Space group I-4m2 (No. 119)
Unique sites:
Cd1 0.000 0.000 0.000
Cd2 0.000 0.500 0.250
Hg1 0.000 0.000 0.500
Br1 0.000 0.500 0.750

no.,DOS at the Fermi energy (states/eV/cell),magnetization (μB/cell)
1,0.0,0.0
2,15.1,0.0
3,3.8,0.0